Entry 1:
The following is a PBE calculation of crystalline Ac3PbO2 at its relaxed geometry, from Alexandria via LeMat-Bulk.

Calculated values
Space group   Cmcm, No. 63
Fermi-level density of states   0.5200 states/eV per atom
Raw formation energy   -2.06 eV/atom

a b c (Å): 7.9558 7.9558 5.9448
angles (deg): 90.00 90.00 103.15
Last column: nearest neighbours and their distance in Å.
Element x y z (fractional)
Ac (0.1011, 0.8989, 0.7500)  4 O 2.48
Ac (0.1838, 0.4017, 0.7500)  2 O 2.43
Ac (0.4017, 0.1838, 0.2500)  2 O 2.43
Ac (0.5983, 0.8162, 0.7500)  2 O 2.43
Ac (0.8162, 0.5983, 0.2500)  2 O 2.43
Ac (0.8989, 0.1011, 0.2500)  4 O 2.48
Pb (0.3084, 0.6916, 0.2500)  8 Ac 3.75-3.94
Pb (0.6916, 0.3084, 0.7500)  8 Ac 3.75-3.94
O (0.1552, 0.1552, 0.0000)  4 Ac 2.43-2.48
O (0.1552, 0.1552, 0.5000)  4 Ac 2.43-2.48
O (0.8448, 0.8448, 0.0000)  4 Ac 2.43-2.48
O (0.8448, 0.8448, 0.5000)  4 Ac 2.43-2.48

=====

Entry 2:
The following is a PBE calculation of crystalline CsAsHBr2 at its relaxed geometry, from Alexandria via LeMat-Bulk.

Calculated values
E above lowest polymorph   839.3 meV/atom
Space group   P4/mmm, No. 123
Fermi-level density of states   3.9050 states/eV per atom

a b c (Å): 7.0365 7.0365 8.4003
angles (deg): 90.00 90.00 90.00
Last column: nearest neighbours and their distance in Å.
Element x y z (fractional)
Cs (0.0000, 0.0000, 0.0000)  4 Br 3.52
As (0.0000, 0.0000, 0.5000)  2 Cs 4.20
H (0.5000, 0.5000, 0.5000)  4 As 4.98, 8 Br 5.48
Br (0.0000, 0.5000, 0.0000)  2 Cs 3.52
Br (0.5000, 0.0000, 0.0000)  2 Cs 3.52

=====

Entry 3:
The following is a PBE calculation of crystalline SnAs3Pd at its relaxed geometry, from Alexandria via LeMat-Bulk.

Calculated values
E above lowest polymorph   0.0 meV/atom
Space group   Pm-3m, No. 221
ΔH_f (0 K)   0.4615 eV per atom
Fermi-level density of states   1.1041 states/eV per atom

a b c (Å): 4.9394 4.9394 4.9394
angles (deg): 90.00 90.00 90.00
Last column: nearest neighbours and their distance in Å.
Element x y z (fractional)
Sn (0.0000, 0.0000, 0.0000)  12 As 3.49
As (0.0000, 0.5000, 0.5000)  2 Pd 2.47
As (0.5000, 0.0000, 0.5000)  2 Pd 2.47
As (0.5000, 0.5000, 0.0000)  2 Pd 2.47
Pd (0.5000, 0.5000, 0.5000)  6 As 2.47

=====

Entry 4:
The following is a PBE calculation of crystalline GeIOF2 at its relaxed geometry, from Alexandria via LeMat-Bulk.

Calculated values
E above lowest polymorph   620.5 meV/atom
Space group   P4/mmm, No. 123
Fermi-level density of states   0.7721 states/eV per atom
Raw formation energy   -0.20 eV/atom

a b c (Å): 4.9699 4.9699 4.0009
angles (deg): 90.00 90.00 90.00
Last column: nearest neighbours and their distance in Å.
Element x y z (fractional)
Ge (0.0000, 0.0000, 0.0000)  8 F 3.19, 4 O 3.51
I (0.5000, 0.5000, 0.5000)  2 O 2.00
O (0.5000, 0.5000, 0.0000)  2 I 2.00
F (0.0000, 0.5000, 0.5000)  2 I 2.48
F (0.5000, 0.0000, 0.5000)  2 I 2.48

=====

Entry 5:
The following is a PBE calculation of crystalline Pr2TeI at its relaxed geometry, from Alexandria via LeMat-Bulk.

Calculated values
E above lowest polymorph   38.0 meV/atom
Space group   R-3m, No. 166
Fermi-level density of states   0.4760 states/eV per atom
Raw formation energy   -1.11 eV/atom

a b c (Å): 8.5807 8.5807 8.5807
angles (deg): 29.70 29.70 29.70
Last column: nearest neighbours and their distance in Å.
Element x y z (fractional)
Pr (0.2373, 0.2373, 0.2373)  3 Te 3.08
Pr (0.7627, 0.7627, 0.7627)  3 Te 3.08
Te (0.5000, 0.5000, 0.5000)  6 Pr 3.08
I (0.0000, 0.0000, 0.0000)  6 Pr 3.47

=====

Entry 6:
The following is a PBE calculation of crystalline V2Fe7SiGe2 at its relaxed geometry, from Alexandria via LeMat-Bulk.

Calculated values
Space group   Cmmm, No. 65
Fermi-level density of states   0.6281 states/eV per atom
Raw formation energy   -0.08 eV/atom

a b c (Å): 3.5669 3.5669 11.8862
angles (deg): 90.00 90.00 90.47
Last column: nearest neighbours and their distance in Å.
Element x y z (fractional)
V (0.0000, 0.0000, 0.1749)  6 Fe 2.46-2.72, 4 Ge 2.52-2.54
V (0.0000, 0.0000, 0.8251)  6 Fe 2.46-2.72, 4 Ge 2.52-2.54
Fe (0.0000, 0.0000, 0.5000)  4 Si 2.51-2.53, 8 Fe 2.54
Fe (0.0000, 0.5000, 0.3482)  6 Fe 2.51-2.54, 2 Si 2.54, 2 Ge 2.56, 2 V 2.72
Fe (0.0000, 0.5000, 0.6518)  6 Fe 2.51-2.54, 2 Si 2.54, 2 Ge 2.56, 2 V 2.72
Fe (0.2613, 0.7387, 0.0000)  4 Fe 2.42-2.65, 2 V 2.46, 2 Ge 2.60
Fe (0.5000, 0.0000, 0.3482)  6 Fe 2.51-2.54, 2 Si 2.54, 2 Ge 2.56, 2 V 2.72
Fe (0.5000, 0.0000, 0.6518)  6 Fe 2.51-2.54, 2 Si 2.54, 2 Ge 2.56, 2 V 2.72
Fe (0.7387, 0.2613, 0.0000)  4 Fe 2.42-2.65, 2 V 2.46, 2 Ge 2.60
Si (0.5000, 0.5000, 0.5000)  12 Fe 2.51-2.54
Ge (0.5000, 0.5000, 0.1939)  4 V 2.52-2.54, 6 Fe 2.56-2.60
Ge (0.5000, 0.5000, 0.8061)  4 V 2.52-2.54, 6 Fe 2.56-2.60

=====

Entry 7:
The following is a PBE calculation of crystalline CaZrTaIr2 at its relaxed geometry, from Alexandria via LeMat-Bulk.

Calculated values
Space group   I-4m2, No. 119
ΔH_f (0 K)   -0.6023 eV per atom
Fermi-level density of states   0.6212 states/eV per atom

a b c (Å): 6.2422 6.2422 6.2422
angles (deg): 137.72 137.72 61.34
Last column: nearest neighbours and their distance in Å.
Element x y z (fractional)
Ca (0.0000, 0.0000, 0.0000)  8 Ir 3.44, 4 Zr 3.50, 4 Ta 3.50
Zr (0.7500, 0.2500, 0.5000)  4 Ir 2.64
Ta (0.2500, 0.7500, 0.5000)  4 Ir 2.64
Ir (0.3791, 0.3791, 0.0000)  1 Ir 2.60, 2 Zr 2.64, 2 Ta 2.64
Ir (0.6209, 0.6209, 0.0000)  1 Ir 2.60, 2 Zr 2.64, 2 Ta 2.64

=====

Entry 8:
The following is a PBE calculation of crystalline Na2Y2F7 at its relaxed geometry, from Alexandria via LeMat-Bulk.

Calculated values
Space group   C2/m, No. 12
Fermi-level density of states   0.1400 states/eV per atom
Raw formation energy   -3.43 eV/atom

a b c (Å): 5.5625 5.5625 5.7340
angles (deg): 90.05 90.05 85.56
Last column: nearest neighbours and their distance in Å.
Element x y z (fractional)
Na (0.2427, 0.7573, 0.0000)  6 F 2.42-2.58
Na (0.7573, 0.2427, 0.0000)  6 F 2.42-2.58
Y (0.2308, 0.2308, 0.5001)  7 F 2.20-2.29
Y (0.7692, 0.7692, 0.4999)  7 F 2.20-2.29
F (0.9998, 0.9998, 0.2743)  2 Y 2.29, 2 Na 2.42
F (0.0002, 0.0002, 0.7257)  2 Y 2.29, 2 Na 2.42
F (0.9999, 0.4997, 0.2745)  2 Y 2.29
F (0.0001, 0.5003, 0.7255)  2 Y 2.29
F (0.4997, 0.9999, 0.2745)  2 Y 2.29
F (0.5003, 0.0001, 0.7255)  2 Y 2.29
F (0.5000, 0.5000, 0.5000)  2 Y 2.20

=====

Repeat the seventh record exactly.
The following is a PBE calculation of crystalline CaZrTaIr2 at its relaxed geometry, from Alexandria via LeMat-Bulk.

Calculated values
Space group   I-4m2, No. 119
ΔH_f (0 K)   -0.6023 eV per atom
Fermi-level density of states   0.6212 states/eV per atom

a b c (Å): 6.2422 6.2422 6.2422
angles (deg): 137.72 137.72 61.34
Last column: nearest neighbours and their distance in Å.
Element x y z (fractional)
Ca (0.0000, 0.0000, 0.0000)  8 Ir 3.44, 4 Zr 3.50, 4 Ta 3.50
Zr (0.7500, 0.2500, 0.5000)  4 Ir 2.64
Ta (0.2500, 0.7500, 0.5000)  4 Ir 2.64
Ir (0.3791, 0.3791, 0.0000)  1 Ir 2.60, 2 Zr 2.64, 2 Ta 2.64
Ir (0.6209, 0.6209, 0.0000)  1 Ir 2.60, 2 Zr 2.64, 2 Ta 2.64

=====

- Number 3 is which compound?
  SnAs3Pd

=====

- Look up the Fermi-level density of states of the first one.
  0.5200 states/eV per atom

=====

- Fermi-level density of states of number 6 (V2Fe7SiGe2)?
  0.6281 states/eV per atom